Compound: SbRh2Pb
Source: Alexandria
Functional: PBE-GGA
Structure: optimized geometry

a b c (Å): 6.785 6.785 6.785
angles (deg): 151.26 147.20 44.16
Sites, in units of the cell vectors:
Sb 0.541 0.541 0.000
Rh 0.982 0.982 0.000
Rh 0.184 0.684 0.500
Pb 0.793 0.293 0.500

## Properties
Energy relative to the elements, uncorrected ... -122 meV per atom
Offset from the most stable computed form ... 0.206 eV per atom